1.
A relaxed structure of BeCrPt2, computed with GGA-PBE.

Geometry as POSCAR:
```
BeCrPt2
1.0
4.582 -1.999 -3.159
-1.697 4.702 3.159
-3.148 0.469 4.984
Be Pt Cr
1 2 1
Cartesian
0.000 0.000 0.000
-3.937 4.201 6.617
-0.908 0.969 1.527
-2.423 2.585 4.072
```

Output
total magnetic moment	4.0	μB/f.u.
Fermi-level density of states	0.854	states/eV/atom
ΔH_f (0 K)	0.145	eV per atom

---

2.
A relaxed structure of BeCrPt2, computed with GGA-PBE.

Geometry as POSCAR:
```
BeCrPt2
1.0
2.745 -0.001 0.000
0.001 2.745 0.000
0.000 0.000 6.755
Pt Cr Be
2 1 1
Cartesian
0.000 0.000 3.181
0.000 0.000 0.196
1.373 1.372 5.066
1.373 1.372 1.689
```

Output
total magnetic moment	1.4	μB/f.u.
Fermi-level density of states	0.992	states/eV/atom
ΔH_f (0 K)	-0.437	eV per atom

---

3.
A relaxed structure of BeCrPt2, computed with GGA-PBE.

Geometry as POSCAR:
```
BeCrPt2
1.0
-0.076 -1.458 4.876
2.720 -4.018 1.537
-0.116 4.647 -2.074
Pt Cr Be
2 1 1
Cartesian
0.006 -0.013 0.015
0.468 0.427 2.769
2.046 -1.224 1.533
1.331 -2.757 3.228
```

Output
total magnetic moment	0.9	μB/f.u.
Fermi-level density of states	0.798	states/eV/atom
ΔH_f (0 K)	-0.260	eV per atom

---

4.
A relaxed structure of BeCrPt, computed with GGA-PBE.

Geometry as POSCAR:
```
BeCrPt
1.0
-4.196 -0.073 0.195
2.275 -1.610 3.141
0.027 4.195 2.129
Pt Cr Be
2 2 2
Cartesian
0.756 1.658 4.513
-1.413 0.071 2.465
-3.565 1.477 1.936
-3.576 -0.306 1.031
0.744 -0.438 3.448
-1.402 2.168 3.530
```

Output
total magnetic moment	0.0	μB/f.u.
Fermi-level density of states	0.678	states/eV/atom
ΔH_f (0 K)	-0.324	eV per atom
E above lowest polymorph	47	meV/atom

---

5.
A relaxed structure of BeCrPt, computed with GGA-PBE.

Geometry as POSCAR:
```
BeCrPt
1.0
-4.276 -2.834 0.844
-1.767 -4.704 -1.333
3.822 3.026 1.806
Cr Be Pt
1 1 1
Cartesian
-3.947 -4.925 -0.320
-6.036 -7.531 -0.489
-2.101 -2.621 -0.170
```

Output
total magnetic moment	0.0	μB/f.u.
Fermi-level density of states	0.606	states/eV/atom
ΔH_f (0 K)	-0.246	eV per atom
E above lowest polymorph	125	meV/atom

---

6.
A relaxed structure of Be2Cr2Pt, computed with GGA-PBE.

Geometry as POSCAR:
```
Be2Cr2Pt
1.0
-1.616 1.616 5.402
1.616 -1.616 5.402
1.616 1.616 -5.402
Be Cr Pt
2 2 1
Cartesian
0.000 0.000 4.407
0.000 0.000 6.398
1.616 0.000 2.701
0.000 1.616 2.701
0.000 0.000 0.000
```

Output
total magnetic moment	0.0	μB/f.u.
Fermi-level density of states	0.719	states/eV/atom
ΔH_f (0 K)	0.101	eV per atom
E above lowest polymorph	240	meV/atom

---

7.
A relaxed structure of BeCrPt, computed with GGA-PBE.

Geometry as POSCAR:
```
BeCrPt
1.0
-0.305 -3.403 -1.940
2.532 -0.196 3.921
-4.697 0.001 0.742
Be Pt Cr
2 2 2
Cartesian
-1.342 -2.275 1.317
0.897 -1.309 3.245
-1.474 -1.221 3.466
1.028 -2.363 1.094
-0.618 -3.449 -0.719
-2.666 -3.342 -0.583
```

Output
total magnetic moment	0.0	μB/f.u.
Fermi-level density of states	0.487	states/eV/atom
ΔH_f (0 K)	-0.332	eV per atom
E above lowest polymorph	39	meV/atom

---

8.
A relaxed structure of BeCrPt, computed with GGA-PBE.

Geometry as POSCAR:
```
BeCrPt
1.0
6.617 -0.113 -0.064
0.508 2.649 -0.062
1.602 0.937 4.022
Cr Pt Be
2 2 2
Cartesian
8.572 3.366 3.810
7.225 1.247 2.066
5.233 2.955 1.722
2.343 0.833 0.196
2.959 2.092 2.082
6.220 2.634 3.859
```

Output
total magnetic moment	0.0	μB/f.u.
Fermi-level density of states	0.674	states/eV/atom
ΔH_f (0 K)	-0.286	eV per atom
E above lowest polymorph	86	meV/atom